# 1
Dy3SbIr | Alexandria | PBE | optimized geometry; M_tot = 0.00 μB per cell; DFT total energy = -61.3 eV for the cell shown; energy relative to the elements, uncorrected = -0.78 eV/atom
1.0
7.4671 -2.4679 0.0000
7.4671 2.4679 0.0000
-4.7295 0.0000 7.3694
Dy Sb Ir
6 2 2
Cartesian
0.0621 0.0000 1.6380
0.1205 0.0000 5.6396
5.0216 0.0000 1.5409
5.1832 0.0000 5.8285
10.0842 0.0000 1.7298
10.1427 0.0000 5.7314
2.8337 0.0000 3.7802
7.3710 0.0000 3.5892
-2.2856 0.0000 7.3591
12.4903 0.0000 0.0103

=====

# 2
Dy3ScIr2 | Alexandria | PBE | optimized geometry; formation energy = -370 kJ/mol of formula units; M_tot = 0.00 μB per cell; DFT total energy = -41.7 eV for the cell shown
1.0
-2.0743 2.2962 7.3226
2.0743 -2.2962 7.3226
2.0743 2.2962 -7.3226
Dy Sc Ir
3 1 2
Cartesian
0.0000 0.0000 0.0000
2.0743 0.0000 2.6902
0.0000 2.2962 4.6324
0.0000 0.0000 7.3226
2.0743 0.0000 5.4749
0.0000 2.2962 1.8477

=====

# 3
Dy2ScIr3 | Alexandria | PBE | optimized geometry; formation energy = -491 kJ/mol of formula units; M_tot = 0.00 μB per cell; DFT total energy = -94.4 eV for the cell shown
1.0
4.7571 0.0000 0.0000
-2.3786 4.1198 0.0000
0.0000 0.0000 11.6749
Dy Sc Ir
4 2 6
Cartesian
0.0000 0.0000 0.0000
0.0000 0.0000 5.8375
0.0000 2.7465 2.0008
2.3786 1.3733 9.6741
0.0000 2.7465 7.7520
2.3786 1.3733 3.9229
0.0000 0.0000 2.9920
0.0000 0.0000 8.6829
0.0000 2.7465 4.8787
0.0000 2.7465 10.6237
2.3786 1.3733 1.0512
2.3786 1.3733 6.7963

=====

# 4
Dy2Sc3Ir2 | Alexandria | PBE | optimized geometry; formation energy = -441 kJ/mol of formula units; M_tot = 0.00 μB per cell; DFT total energy = -50.5 eV for the cell shown
1.0
5.6639 -1.8858 0.0000
5.6639 1.8858 0.0000
-3.7218 0.0000 7.5099
Dy Sc Ir
2 3 2
Cartesian
0.6485 0.0000 2.2535
6.9574 0.0000 5.2564
4.0194 0.0000 0.4964
3.8030 0.0000 3.7550
3.5865 0.0000 7.0136
-0.8516 0.0000 5.5006
8.4576 0.0000 2.0093

=====

# 5
DySc2Ir2 | Alexandria | PBE | optimized geometry; formation energy = -388 kJ/mol of formula units; M_tot = 0.00 μB per cell; DFT total energy = -39.0 eV for the cell shown
1.0
4.6416 0.0000 0.0000
-2.3208 4.0197 0.0000
0.0000 0.0000 5.6636
Dy Sc Ir
1 2 2
Cartesian
0.0000 0.0000 0.0000
0.0000 2.6798 3.7114
2.3208 1.3399 1.9522
0.0000 2.6798 1.0060
2.3208 1.3399 4.6576

=====

# 6
DyScIr | Alexandria | PBE | optimized geometry; formation energy = -172 kJ/mol of formula units; M_tot = 0.00 μB per cell; DFT total energy = -21.6 eV for the cell shown
1.0
-1.6437 1.6437 6.2499
1.6437 -1.6437 6.2499
1.6437 1.6437 -6.2499
Dy Sc Ir
1 1 1
Cartesian
0.0000 0.0000 0.0000
0.0000 0.0000 3.3370
0.0000 0.0000 8.0757

=====

# 7
DyScIr | Alexandria | PBE | optimized geometry; formation energy = -198 kJ/mol of formula units; M_tot = 0.00 μB per cell; DFT total energy = -21.8 eV for the cell shown
1.0
0.0000 3.2981 3.2981
3.2981 0.0000 3.2981
3.2981 3.2981 0.0000
Dy Sc Ir
1 1 1
Cartesian
0.0000 0.0000 0.0000
3.2981 3.2981 3.2981
1.6490 1.6490 1.6490

=====

# 8
DySc2Ir | Alexandria | PBE | optimized geometry; formation energy = -229 kJ/mol of formula units; M_tot = 0.00 μB per cell; DFT total energy = -114.0 eV for the cell shown
1.0
7.0763 0.0000 0.0000
0.0000 8.6813 0.0000
0.0000 0.0000 6.0389
Dy Sc Ir
4 8 4
Cartesian
0.2130 2.1703 0.7360
3.3251 6.5109 3.7554
3.7511 2.1703 2.2834
6.8633 6.5109 5.3029
1.2327 0.5312 3.9987
1.2327 3.8094 3.9987
2.3054 4.8718 0.9792
2.3054 8.1501 0.9792
4.7708 0.5312 5.0596
4.7708 3.8094 5.0596
5.8436 4.8718 2.0402
5.8436 8.1501 2.0402
0.8291 6.5109 2.6035
2.7090 2.1703 5.6229
4.3672 6.5109 0.4159
6.2472 2.1703 3.4353

=====

Which of these has the lowest DFT total energy?
DySc2Ir

=====

What is the formula in the third record?
Dy2ScIr3